A plane-wave DFT calculation with PBE was carried out for a relaxed PmAgO crystal.

## Properties
Final energy (eV per atom): -6.03
Polymorph energy (0 for the lowest one) (kJ/mol of formula units): 30
Symmetry: P4/nmm (129)

Cell: 3.367 3.367 10.056 Å, 90.00 70.43 90.00°
Atoms (fractional coordinates):
O: 0.347 0.250 0.403
O: 0.653 0.750 0.597
Pm: 0.093 0.250 0.657
Pm: 0.907 0.750 0.343
Ag: 0.670 0.250 0.080
Ag: 0.330 0.750 0.920

---

A plane-wave DFT calculation with PBE was carried out for a relaxed PmAgPtO4 crystal.

## Properties
Final energy (eV per atom): -6.14
Symmetry: Imma (74)

Cell: 6.442 6.665 7.277 Å, 123.09 90.00 118.90°
Atoms (fractional coordinates):
Pm: 0.500 0.000 0.500
Pm: 0.500 0.000 0.000
Ag: 0.869 0.738 0.119
Ag: 0.131 0.262 0.881
Pt: 0.500 0.500 0.500
Pt: 0.000 0.500 0.500
O: 0.757 0.514 0.689
O: 0.298 0.046 0.273
O: 0.747 0.046 0.273
O: 0.757 0.514 0.325
O: 0.243 0.486 0.675
O: 0.702 0.954 0.727
O: 0.253 0.954 0.727
O: 0.243 0.486 0.311

---

A plane-wave DFT calculation with PBE was carried out for a relaxed Pm2AgPtO6 crystal.

## Properties
Final energy (eV per atom): -6.64
Symmetry: R3 (146)

Cell: 5.806 5.806 5.977 Å, 60.94 60.94 60.00°
Atoms (fractional coordinates):
Pm: 0.534 0.534 0.397
Pm: 0.025 0.025 0.925
Ag: 0.801 0.801 0.597
Pt: 0.321 0.321 0.036
O: 0.575 0.209 0.245
O: 0.209 0.971 0.245
O: 0.971 0.575 0.245
O: 0.419 0.674 0.775
O: 0.674 0.132 0.775
O: 0.132 0.419 0.775

---

A plane-wave DFT calculation with PBE was carried out for a relaxed Pm2PuAgO6 crystal.

## Properties
Final energy (eV per atom): -8.28
Symmetry: R3 (146)

Cell: 5.980 5.980 6.252 Å, 61.43 61.43 60.00°
Last column: magnetic moment on the atom in μB.
Atoms (fractional coordinates):
Pm: 0.531 0.531 0.407  0.01
Pm: 0.017 0.017 0.948  0.01
Pu: 0.321 0.321 0.038  3.38
Ag: 0.789 0.789 0.634  -0.02
O: 0.588 0.234 0.229  -0.06
O: 0.234 0.949 0.229  -0.06
O: 0.949 0.588 0.229  -0.06
O: 0.393 0.690 0.767  -0.07
O: 0.690 0.150 0.767  -0.07
O: 0.150 0.393 0.767  -0.07

---

A plane-wave DFT calculation with PBE was carried out for a relaxed RbPmAgO3 crystal.

## Properties
Final energy (eV per atom): -5.53
Symmetry: P6_3/mmc (194)

Cell: 6.530 6.530 6.753 Å, 90.00 90.00 120.00°
Last column: magnetic moment on the atom in μB.
Atoms (fractional coordinates):
Rb: 0.667 0.333 0.250  0.00
Rb: 0.333 0.667 0.750  0.00
Pm: 0.000 0.000 0.500  -0.01
Pm: 0.000 0.000 0.000  -0.01
Ag: 0.333 0.667 0.250  0.29
Ag: 0.667 0.333 0.750  0.29
O: 0.853 0.147 0.750  0.22
O: 0.147 0.294 0.250  0.22
O: 0.294 0.147 0.750  0.22
O: 0.706 0.853 0.250  0.22
O: 0.853 0.706 0.750  0.22
O: 0.147 0.853 0.250  0.22

---

A plane-wave DFT calculation with PBE was carried out for a relaxed RbPmAgO2 crystal.

## Properties
Final energy (eV per atom): -5.27
Symmetry: P2/c (13)

Cell: 5.579 6.922 6.813 Å, 94.30 90.00 90.00°
Atoms (fractional coordinates):
Rb: 0.270 0.500 0.750
Rb: 0.730 0.500 0.250
Pm: 0.485 0.000 0.250
Pm: 0.515 0.000 0.750
Ag: 0.000 0.000 0.000
Ag: 0.000 0.000 0.500
O: 0.628 0.805 0.992
O: 0.628 0.195 0.508
O: 0.372 0.805 0.492
O: 0.372 0.195 0.008

---

A plane-wave DFT calculation with PBE was carried out for a relaxed Rb2PmAg2O4 crystal.

## Properties
Final energy (eV per atom): -4.85
Symmetry: C2/m (12)

Cell: 3.591 6.785 7.949 Å, 102.97 103.05 90.00°
Last column: magnetic moment on the atom in μB.
Atoms (fractional coordinates):
Rb: 0.112 0.549 0.225  0.00
Rb: 0.888 0.451 0.775  0.00
Pm: 0.000 0.000 0.000  -0.01
Ag: 0.698 0.066 0.397  0.00
Ag: 0.302 0.934 0.603  0.00
O: 0.159 0.178 0.318  0.00
O: 0.841 0.822 0.682  0.00
O: 0.524 0.790 0.047  0.13
O: 0.476 0.210 0.953  0.13

---

A plane-wave DFT calculation with PBE was carried out for a relaxed PmReAgO5 crystal.

## Properties
Final energy (eV per atom): -7.34
Symmetry: C2/c (15)

Cell: 6.254 6.254 8.639 Å, 105.43 105.43 98.62°
Last column: magnetic moment on the atom in μB.
Atoms (fractional coordinates):
Pm: 0.000 0.000 0.500  0.02
Pm: 0.000 0.000 0.000  0.02
Re: 0.642 0.358 0.250  0.59
Re: 0.358 0.642 0.750  0.59
Ag: 0.297 0.703 0.250  0.01
Ag: 0.703 0.297 0.750  0.01
O: 0.074 0.926 0.250  0.01
O: 0.926 0.074 0.750  0.01
O: 0.781 0.262 0.097  0.05
O: 0.219 0.738 0.903  0.05
O: 0.738 0.219 0.403  0.05
O: 0.262 0.781 0.597  0.05
O: 0.695 0.653 0.379  0.05
O: 0.305 0.347 0.621  0.05
O: 0.347 0.305 0.121  0.05
O: 0.653 0.695 0.879  0.05

---

A plane-wave DFT calculation with PBE was carried out for a relaxed Pm3Ag3RhO8 crystal.

## Properties
Final energy (eV per atom): -6.34
Symmetry: R-3m (166)

Cell: 6.991 6.989 6.921 Å, 120.39 90.00 120.01°
Last column: magnetic moment on the atom in μB.
Atoms (fractional coordinates):
Pm: 0.500 0.000 0.500  0.00
Pm: 0.500 0.500 0.500  0.00
Pm: 0.000 0.500 0.500  0.00
Ag: 0.000 0.000 0.000  0.02
Ag: 0.000 0.500 0.000  0.02
Ag: 0.500 0.500 0.000  0.02
Rh: 0.000 0.000 0.500  0.60
O: 0.268 0.535 0.303  0.03
O: 0.732 0.465 0.697  0.03
O: 0.788 0.576 0.306  0.05
O: 0.212 0.424 0.694  0.05
O: 0.788 0.018 0.306  0.05
O: 0.212 0.982 0.694  0.05
O: 0.230 0.018 0.306  0.05
O: 0.770 0.982 0.694  0.05

---

A plane-wave DFT calculation with PBE was carried out for a relaxed PmAgRhO4 crystal.

## Properties
Final energy (eV per atom): -6.41
Symmetry: Imma (74)

Cell: 6.294 6.608 7.182 Å, 122.92 90.00 118.44°
Last column: magnetic moment on the atom in μB.
Atoms (fractional coordinates):
Pm: 0.500 0.000 0.500  0.00
Pm: 0.500 0.000 0.000  0.00
Ag: 0.859 0.718 0.109  0.04
Ag: 0.141 0.282 0.891  0.04
Rh: 0.500 0.500 0.500  0.36
Rh: 0.000 0.500 0.500  0.36
O: 0.754 0.508 0.691  0.06
O: 0.296 0.054 0.277  0.08
O: 0.758 0.054 0.277  0.08
O: 0.754 0.508 0.317  0.06
O: 0.246 0.492 0.683  0.06
O: 0.704 0.946 0.723  0.08
O: 0.242 0.946 0.723  0.08
O: 0.246 0.492 0.309  0.06

---

A plane-wave DFT calculation with PBE was carried out for a relaxed Pm2AgRhO6 crystal.

## Properties
Final energy (eV per atom): -6.82
Symmetry: R3 (146)

Cell: 5.782 5.782 5.883 Å, 60.56 60.56 60.00°
Last column: magnetic moment on the atom in μB.
Atoms (fractional coordinates):
Pm: 0.535 0.535 0.394  0.00
Pm: 0.029 0.029 0.912  0.00
Ag: 0.803 0.803 0.592  0.02
Rh: 0.319 0.319 0.044  0.09
O: 0.578 0.201 0.248  0.01
O: 0.201 0.974 0.248  0.01
O: 0.974 0.578 0.248  0.01
O: 0.425 0.669 0.777  0.01
O: 0.669 0.130 0.777  0.01
O: 0.130 0.425 0.777  0.01

---

A plane-wave DFT calculation with PBE was carried out for a relaxed Pm3Ag3RuO8 crystal.

## Properties
Final energy (eV per atom): -6.50
Symmetry: C2/m (12)

Cell: 6.996 6.994 6.942 Å, 120.36 90.00 120.01°
Last column: magnetic moment on the atom in μB.
Atoms (fractional coordinates):
Pm: 0.500 0.000 0.500  0.01
Pm: 0.500 0.500 0.500  0.01
Pm: 0.000 0.500 0.500  0.01
Ag: 0.000 0.000 0.000  0.01
Ag: 0.000 0.500 0.000  0.01
Ag: 0.500 0.500 0.000  0.01
Ru: 0.000 0.000 0.500  1.46
O: 0.268 0.536 0.305  0.01
O: 0.732 0.464 0.695  0.01
O: 0.789 0.579 0.309  0.06
O: 0.211 0.421 0.691  0.06
O: 0.789 0.018 0.308  0.06
O: 0.211 0.982 0.692  0.06
O: 0.229 0.018 0.308  0.06
O: 0.771 0.982 0.692  0.06

---

Question: Which value of final energy does entry 8 give?
Answer: -7.34 eV per atom

---

Repeat the fourth record exactly.
A plane-wave DFT calculation with PBE was carried out for a relaxed Pm2PuAgO6 crystal.

## Properties
Final energy (eV per atom): -8.28
Symmetry: R3 (146)

Cell: 5.980 5.980 6.252 Å, 61.43 61.43 60.00°
Last column: magnetic moment on the atom in μB.
Atoms (fractional coordinates):
Pm: 0.531 0.531 0.407  0.01
Pm: 0.017 0.017 0.948  0.01
Pu: 0.321 0.321 0.038  3.38
Ag: 0.789 0.789 0.634  -0.02
O: 0.588 0.234 0.229  -0.06
O: 0.234 0.949 0.229  -0.06
O: 0.949 0.588 0.229  -0.06
O: 0.393 0.690 0.767  -0.07
O: 0.690 0.150 0.767  -0.07
O: 0.150 0.393 0.767  -0.07